Material: BaOsPt3
Method: DFT, meta-GGA SCAN
State: single point on PBEsol structure

Computed properties:
Its formation energy is 1.0 eV/f.u. For the total magnetic moment, the calculation gives 0.0 μB per cell. The value obtained for the uncorrected energy is -64.209 eV per atom.

Lattice parameters (Å, degrees): 4.8876 4.8876 4.8876 90.00 90.00 90.00
Space group Pm-3m (No. 221)
Symmetry-distinct sites (fractional):
Ba 0.0000 0.0000 0.0000 [1 per cell]
Os 0.5000 0.5000 0.5000 [1 per cell]
Pt 0.0000 0.5000 0.5000 [3 per cell]


Material: BaOsPt2
Method: DFT, meta-GGA SCAN
State: single point on PBEsol structure

Computed properties:
Its formation energy is 1.0 eV/f.u. For the total magnetic moment, the calculation gives 0.0 μB per cell. The offset from the most stable computed form comes out at 0.0 kJ per mole of atoms. The value obtained for the uncorrected energy is -62.705 eV per atom.

Lattice parameters (Å, degrees): 3.2713 3.2713 7.4665 90.00 90.00 90.00
Space group P4/mmm (No. 123)
Symmetry-distinct sites (fractional):
Ba 0.0000 0.0000 0.0000 [1 per cell]
Os 0.0000 0.0000 0.5000 [1 per cell]
Pt 0.5000 0.5000 0.3211 [2 per cell]


Material: BaOsPt2
Method: DFT, meta-GGA SCAN
State: single point on PBEsol structure

Computed properties:
Its formation energy is 1.4 eV/f.u. For the total magnetic moment, the calculation gives 0.0 μB per cell. The offset from the most stable computed form comes out at 8.6 kJ per mole of atoms. The value obtained for the uncorrected energy is -62.616 eV per atom.

Lattice parameters (Å, degrees): 2.8891 3.8021 7.3326 90.00 90.00 90.00
Space group Pmm2 (No. 25)
Symmetry-distinct sites (fractional):
Ba 0.0000 0.0000 0.0000 [1 per cell]
Os 0.5000 0.5000 0.3397 [1 per cell]
Pt 0.0000 0.0000 0.4802 [1 per cell]
Pt 0.5000 0.5000 0.6964 [1 per cell]


Material: Ba2YOsPt
Method: DFT, meta-GGA SCAN
State: single point on PBEsol structure

Computed properties:
Its formation energy is 5.8 eV/f.u. For the total magnetic moment, the calculation gives 0.0 μB per cell. The value obtained for the uncorrected energy is -48.645 eV per atom.

Lattice parameters (Å, degrees): 6.1668 6.1668 4.6218 90.00 90.00 90.00
Space group P4/mmm (No. 123)
Symmetry-distinct sites (fractional):
Ba 0.0000 0.5000 0.0000 [2 per cell]
Y 0.0000 0.0000 0.0000 [1 per cell]
Os 0.0000 0.0000 0.5000 [1 per cell]
Pt 0.5000 0.5000 0.5000 [1 per cell]


Material: Rb3BaOs
Method: DFT, meta-GGA SCAN
State: single point on PBEsol structure

Computed properties:
Its formation energy is 6.0 eV/f.u. For the total magnetic moment, the calculation gives 1.0 μB per cell. The value obtained for the uncorrected energy is -33.533 eV per atom.

Lattice parameters (Å, degrees): 6.4699 6.4699 6.4699 90.00 90.00 90.00
Space group Pm-3m (No. 221)
Symmetry-distinct sites (fractional):
Rb 0.0000 0.0000 0.5000 [3 per cell]
Ba 0.5000 0.5000 0.5000 [1 per cell]
Os 0.0000 0.0000 0.0000 [1 per cell]


Material: RbBa2Os
Method: DFT, meta-GGA SCAN
State: single point on PBEsol structure

Computed properties:
Its formation energy is 3.3 eV/f.u. For the total magnetic moment, the calculation gives 0.0 μB per cell. The value obtained for the uncorrected energy is -42.109 eV per atom.

Lattice parameters (Å, degrees): 7.8755 7.8755 7.8755 90.00 90.00 90.00
Space group Fm-3m (No. 225)
Symmetry-distinct sites (fractional):
Rb 0.0000 0.0000 0.0000 [4 per cell]
Ba 0.2500 0.2500 0.2500 [8 per cell]
Os 0.0000 0.0000 0.5000 [4 per cell]


Material: BaReOs2
Method: DFT, meta-GGA SCAN
State: single point on PBEsol structure

Computed properties:
Its formation energy is 3.0 eV/f.u. For the total magnetic moment, the calculation gives 0.0 μB per cell. The value obtained for the uncorrected energy is -62.845 eV per atom.

Lattice parameters (Å, degrees): 2.9887 2.9887 8.3223 90.00 90.00 90.00
Space group P4/mmm (No. 123)
Symmetry-distinct sites (fractional):
Ba 0.0000 0.0000 0.0000 [1 per cell]
Re 0.0000 0.0000 0.5000 [1 per cell]
Os 0.5000 0.5000 0.3111 [2 per cell]


Material: Ba2ReOs
Method: DFT, meta-GGA SCAN
State: single point on PBEsol structure

Computed properties:
Its formation energy is 6.8 eV/f.u. For the total magnetic moment, the calculation gives 0.0 μB per cell. The value obtained for the uncorrected energy is -53.816 eV per atom.

Lattice parameters (Å, degrees): 4.1690 4.1690 10.6868 90.00 90.00 90.00
Space group I4/mmm (No. 139)
Symmetry-distinct sites (fractional):
Ba 0.0000 0.5000 0.2500 [4 per cell]
Re 0.0000 0.0000 0.0000 [2 per cell]
Os 0.0000 0.0000 0.5000 [2 per cell]


Material: BaOsRh2
Method: DFT, meta-GGA SCAN
State: single point on PBEsol structure

Computed properties:
Its formation energy is 2.5 eV/f.u. For the total magnetic moment, the calculation gives 0.0 μB per cell. The offset from the most stable computed form comes out at 5.4 kJ per mole of atoms. The value obtained for the uncorrected energy is -44.123 eV per atom.

Lattice parameters (Å, degrees): 3.0468 3.0468 7.9882 90.00 90.00 90.00
Space group P4mm (No. 99)
Symmetry-distinct sites (fractional):
Ba 0.0000 0.0000 0.0000 [1 per cell]
Os 0.5000 0.5000 0.3245 [1 per cell]
Rh 0.0000 0.0000 0.4976 [1 per cell]
Rh 0.5000 0.5000 0.6940 [1 per cell]


Material: Ba2OsRh
Method: DFT, meta-GGA SCAN
State: single point on PBEsol structure

Computed properties:
Its formation energy is 3.8 eV/f.u. For the total magnetic moment, the calculation gives 9.9 μB per cell. The offset from the most stable computed form comes out at 84.9 kJ per mole of atoms. The value obtained for the uncorrected energy is -45.231 eV per atom.

Lattice parameters (Å, degrees): 7.2450 7.2450 7.2450 90.00 90.00 90.00
Space group F-43m (No. 216)
Symmetry-distinct sites (fractional):
Ba 0.0000 0.0000 0.0000 [4 per cell]
Ba 0.2500 0.2500 0.2500 [4 per cell]
Os 0.2500 0.2500 0.7500 [4 per cell]
Rh 0.0000 0.0000 0.5000 [4 per cell]


Material: BaOsRh2
Method: DFT, meta-GGA SCAN
State: single point on PBEsol structure

Computed properties:
Its formation energy is 2.3 eV/f.u. For the total magnetic moment, the calculation gives 0.0 μB per cell. The offset from the most stable computed form comes out at 0.0 kJ per mole of atoms. The value obtained for the uncorrected energy is -44.178 eV per atom.

Lattice parameters (Å, degrees): 4.2248 2.8766 12.8294 90.00 90.00 90.00
Space group Amm2 (No. 38)
Symmetry-distinct sites (fractional):
Ba 0.0000 0.0000 0.0000 [2 per cell]
Os 0.5000 0.0000 0.3117 [2 per cell]
Rh 0.0000 0.0000 0.7587 [2 per cell]
Rh 0.5000 0.0000 0.6444 [2 per cell]


Material: BaOsRh2
Method: DFT, meta-GGA SCAN
State: single point on PBEsol structure

Computed properties:
Its formation energy is 4.6 eV/f.u. For the total magnetic moment, the calculation gives 12.7 μB per cell. The offset from the most stable computed form comes out at 55.9 kJ per mole of atoms. The value obtained for the uncorrected energy is -43.599 eV per atom.

Lattice parameters (Å, degrees): 6.5921 6.5921 6.5921 90.00 90.00 90.00
Space group F-43m (No. 216)
Symmetry-distinct sites (fractional):
Ba 0.0000 0.0000 0.0000 [4 per cell]
Os 0.2500 0.2500 0.2500 [4 per cell]
Rh 0.0000 0.0000 0.5000 [4 per cell]
Rh 0.2500 0.2500 0.7500 [4 per cell]


Material: Ba2OsRh
Method: DFT, meta-GGA SCAN
State: single point on PBEsol structure

Computed properties:
Its formation energy is 3.5 eV/f.u. For the total magnetic moment, the calculation gives 1.0 μB per cell. The offset from the most stable computed form comes out at 77.6 kJ per mole of atoms. The value obtained for the uncorrected energy is -45.307 eV per atom.

Lattice parameters (Å, degrees): 3.2929 4.2703 7.0133 90.00 90.00 90.00
Space group Pmmm (No. 47)
Symmetry-distinct sites (fractional):
Ba 0.0000 0.0000 0.2457 [2 per cell]
Os 0.5000 0.5000 0.5000 [1 per cell]
Rh 0.5000 0.5000 0.0000 [1 per cell]


Material: Ba2OsRh
Method: DFT, meta-GGA SCAN
State: single point on PBEsol structure

Computed properties:
Its formation energy is 0.3 eV/f.u. For the total magnetic moment, the calculation gives 2.2 μB per cell. The offset from the most stable computed form comes out at 0.0 kJ per mole of atoms. The value obtained for the uncorrected energy is -46.112 eV per atom.

Lattice parameters (Å, degrees): 7.3912 4.3436 8.9726 90.00 105.66 90.00
Space group Cm (No. 8)
Symmetry-distinct sites (fractional):
Ba 0.0000 0.0000 0.0000 [2 per cell]
Ba 0.1660 0.0000 0.5056 [2 per cell]
Os 0.4016 0.0000 0.2521 [2 per cell]
Rh 0.2588 0.5000 0.2535 [2 per cell]


Material: BaOs2Ru
Method: DFT, meta-GGA SCAN
State: single point on PBEsol structure

Computed properties:
Its formation energy is 6.9 eV/f.u. For the total magnetic moment, the calculation gives 9.9 μB per cell. The offset from the most stable computed form comes out at 84.4 kJ per mole of atoms. The value obtained for the uncorrected energy is -52.804 eV per atom.

Lattice parameters (Å, degrees): 6.5844 6.5844 6.5844 90.00 90.00 90.00
Space group Fm-3m (No. 225)
Symmetry-distinct sites (fractional):
Ba 0.0000 0.0000 0.0000 [4 per cell]
Os 0.2500 0.2500 0.2500 [8 per cell]
Ru 0.0000 0.0000 0.5000 [4 per cell]


Material: BaOs2Ru
Method: DFT, meta-GGA SCAN
State: single point on PBEsol structure

Computed properties:
Its formation energy is 3.4 eV/f.u. For the total magnetic moment, the calculation gives 0.0 μB per cell. The offset from the most stable computed form comes out at 0.0 kJ per mole of atoms. The value obtained for the uncorrected energy is -53.679 eV per atom.

Lattice parameters (Å, degrees): 4.0796 2.8702 13.7442 90.00 90.00 90.00
Space group Amm2 (No. 38)
Symmetry-distinct sites (fractional):
Ba 0.0000 0.0000 0.0000 [2 per cell]
Os 0.0000 0.0000 0.7576 [2 per cell]
Os 0.5000 0.0000 0.3162 [2 per cell]
Ru 0.5000 0.0000 0.6549 [2 per cell]


Material: BaOs2Ru
Method: DFT, meta-GGA SCAN
State: single point on PBEsol structure

Computed properties:
Its formation energy is 6.3 eV/f.u. For the total magnetic moment, the calculation gives 0.0 μB per cell. The offset from the most stable computed form comes out at 69.8 kJ per mole of atoms. The value obtained for the uncorrected energy is -52.956 eV per atom.

Lattice parameters (Å, degrees): 4.4368 4.4368 7.1507 90.00 90.00 90.00
Space group I-4m2 (No. 119)
Symmetry-distinct sites (fractional):
Ba 0.0000 0.0000 0.0000 [2 per cell]
Os 0.0000 0.0000 0.5000 [2 per cell]
Os 0.0000 0.5000 0.2500 [2 per cell]
Ru 0.0000 0.5000 0.7500 [2 per cell]


Material: BaOs2Ru
Method: DFT, meta-GGA SCAN
State: single point on PBEsol structure

Computed properties:
Its formation energy is 3.5 eV/f.u. For the total magnetic moment, the calculation gives 0.0 μB per cell. The offset from the most stable computed form comes out at 0.9 kJ per mole of atoms. The value obtained for the uncorrected energy is -53.670 eV per atom.

Lattice parameters (Å, degrees): 2.8190 3.6586 7.4858 90.00 90.00 90.00
Space group Pmmm (No. 47)
Symmetry-distinct sites (fractional):
Ba 0.0000 0.0000 0.0000 [1 per cell]
Os 0.5000 0.5000 0.3313 [2 per cell]
Ru 0.0000 0.0000 0.5000 [1 per cell]


Material: BaOsRu3
Method: DFT, meta-GGA SCAN
State: single point on PBEsol structure

Computed properties:
Its formation energy is 5.3 eV/f.u. For the total magnetic moment, the calculation gives 0.0 μB per cell. The value obtained for the uncorrected energy is -42.132 eV per atom.

Lattice parameters (Å, degrees): 4.7415 4.7415 4.7415 90.00 90.00 90.00
Space group Pm-3m (No. 221)
Symmetry-distinct sites (fractional):
Ba 0.0000 0.0000 0.0000 [1 per cell]
Os 0.5000 0.5000 0.5000 [1 per cell]
Ru 0.0000 0.5000 0.5000 [3 per cell]


Material: BaOsRu2
Method: DFT, meta-GGA SCAN
State: single point on PBEsol structure

Computed properties:
Its formation energy is 3.4 eV/f.u. For the total magnetic moment, the calculation gives 0.0 μB per cell. The offset from the most stable computed form comes out at 0.0 kJ per mole of atoms. The value obtained for the uncorrected energy is -44.416 eV per atom.

Lattice parameters (Å, degrees): 2.8790 4.1187 6.8340 90.00 102.30 90.00
Space group Pm (No. 6)
Symmetry-distinct sites (fractional):
Ba 0.0000 0.0000 0.0000 [1 per cell]
Os 0.6799 0.5000 0.3657 [1 per cell]
Ru 0.2388 0.0000 0.4831 [1 per cell]
Ru 0.3421 0.5000 0.6865 [1 per cell]